Entry 1:
First-principles (GGA-PBEsol) data for a geometry-optimized BaF3 structure, as listed in the Alexandria database.

- symmetry = P2_1/m (11)
- formation energy without anion corrections (meV per atom) = -2866.7
- E (eV per atom) = -4.850
- magnetic moment (μB per formula unit) = 1.1

Cell lengths 4.6906, 4.4378, 6.3159 Å; angles 90.00, 90.20, 90.00 degrees
With the nearest neighbours (Å) after each atom.
Fractional coordinates of all 8 atoms:
Ba1 0.2491 0.2500 0.2817  10 F 2.63-2.81
Ba2 0.7509 0.7500 0.7183  10 F 2.63-2.81
F1 0.0472 0.2500 0.8642  1 F 1.94
F2 0.2501 0.7500 0.5298  4 Ba 2.63-2.72, 2 F 2.85
F3 0.4601 0.2500 0.8658  1 F 1.94
F4 0.5399 0.7500 0.1342  1 F 1.94
F5 0.7499 0.2500 0.4702  4 Ba 2.63-2.72, 2 F 2.85
F6 0.9528 0.7500 0.1358  1 F 1.94

Entry 2:
First-principles (GGA-PBEsol) data for a geometry-optimized BaF3 structure, as listed in the Alexandria database.

- symmetry = I4/mmm (139)
- formation energy without anion corrections (meV per atom) = -2814.4
- E (eV per atom) = -4.797
- magnetic moment (μB per formula unit) = 1.0

Cell lengths 4.5191, 4.5191, 4.5191 Å; angles 124.97, 124.97, 81.59 degrees
With the nearest neighbours (Å) after each atom.
Fractional coordinates of all 4 atoms:
Ba1 0.0000 0.0000 0.0000  12 F 2.70-2.95
F1 0.2500 0.7500 0.5000  8 F 2.70-2.95, 4 Ba 2.70
F2 0.5000 0.5000 0.0000  8 F 2.70, 4 Ba 2.95
F3 0.7500 0.2500 0.5000  8 F 2.70-2.95, 4 Ba 2.70

Entry 3:
First-principles (GGA-PBEsol) data for a geometry-optimized BaFe2P2O7F2 structure, as listed in the Alexandria database.

- symmetry = Pmmn (59)
- formation energy without anion corrections (meV per atom) = -2205.3
- E (eV per atom) = -7.367
- magnetic moment (μB per formula unit) = 8.0

Cell lengths 6.8469, 11.7696, 4.5659 Å; angles 90.00, 90.00, 90.00 degrees
With the nearest neighbours (Å) after each atom.
Fractional coordinates of all 28 atoms:
Ba1 0.2500 0.2500 0.1103  4 O 2.70, 4 F 2.71-2.86
Ba2 0.7500 0.7500 0.8897  4 O 2.70, 4 F 2.71-2.86
Fe1 0.0000 0.0000 0.5000  4 O 2.00-2.12
Fe2 0.0000 0.5000 0.5000  4 O 2.00-2.12
Fe3 0.5000 0.0000 0.5000  4 O 2.00-2.12
Fe4 0.5000 0.5000 0.5000  4 O 2.00-2.12
P1 0.2500 0.6245 0.9880  4 O 1.52-1.62
P2 0.2500 0.8755 0.9880  4 O 1.52-1.62
P3 0.7500 0.1245 0.0120  4 O 1.52-1.62
P4 0.7500 0.3755 0.0120  4 O 1.52-1.62
O1 0.0638 0.6153 0.8063  1 P 1.52
O2 0.0638 0.8847 0.8063  1 P 1.52
O3 0.2500 0.5456 0.2534  1 P 1.53
O4 0.2500 0.7500 0.1330  2 P 1.62
O5 0.2500 0.9544 0.2534  1 P 1.53
O6 0.4362 0.6153 0.8063  1 P 1.52
O7 0.4362 0.8847 0.8063  1 P 1.52
O8 0.5638 0.1153 0.1937  1 P 1.52
O9 0.5638 0.3847 0.1937  1 P 1.52
O10 0.7500 0.0456 0.7466  1 P 1.53
O11 0.7500 0.2500 0.8670  2 P 1.62
O12 0.7500 0.4544 0.7466  1 P 1.53
O13 0.9362 0.1153 0.1937  1 P 1.52
O14 0.9362 0.3847 0.1937  1 P 1.52
F1 0.2500 0.1141 0.6302  2 Fe 2.26
F2 0.2500 0.3859 0.6302  2 Fe 2.26
F3 0.7500 0.6141 0.3698  2 Fe 2.26
F4 0.7500 0.8859 0.3698  2 Fe 2.26

Entry 4:
First-principles (GGA-PBEsol) data for a geometry-optimized BaGaOF2 structure, as listed in the Alexandria database.

- symmetry = P4/mmm (123)
- formation energy without anion corrections (meV per atom) = -2485.4
- E (eV per atom) = -5.404
- magnetic moment (μB per formula unit) = 0.0

Cell lengths 4.3598, 4.3598, 4.0500 Å; angles 90.00, 90.00, 90.00 degrees
With the nearest neighbours (Å) after each atom.
Fractional coordinates of all 5 atoms:
Ba1 0.0000 0.0000 0.0000  8 F 2.98, 4 O 3.08
Ga1 0.5000 0.5000 0.5000  2 O 2.02, 4 F 2.18
O1 0.5000 0.5000 0.0000  2 Ga 2.02
F1 0.0000 0.5000 0.5000  2 Ga 2.18
F2 0.5000 0.0000 0.5000  2 Ga 2.18

Entry 5:
First-principles (GGA-PBEsol) data for a geometry-optimized BaGaSbF2 structure, as listed in the Alexandria database.

- symmetry = P4/mmm (123)
- formation energy without anion corrections (meV per atom) = -1455.2
- E (eV per atom) = -4.235
- magnetic moment (μB per formula unit) = 0.8

Cell lengths 4.7133, 4.7133, 9.0802 Å; angles 90.00, 90.00, 90.00 degrees
With the nearest neighbours (Å) after each atom.
Fractional coordinates of all 5 atoms:
Ba1 0.0000 0.0000 0.0000  4 F 2.36
Ga1 0.0000 0.0000 0.5000  4 Sb 3.33
Sb1 0.5000 0.5000 0.5000  4 Ga 3.33
F1 0.0000 0.5000 0.0000  2 Ba 2.36
F2 0.5000 0.0000 0.0000  2 Ba 2.36

Entry 6:
First-principles (GGA-PBEsol) data for a geometry-optimized BaGaSi2F structure, as listed in the Alexandria database.

- symmetry = P4/mmm (123)
- formation energy without anion corrections (meV per atom) = -231.0
- E (eV per atom) = -4.013
- magnetic moment (μB per formula unit) = 0.0

Cell lengths 4.6674, 4.6674, 4.8482 Å; angles 90.00, 90.00, 90.00 degrees
With the nearest neighbours (Å) after each atom.
Fractional coordinates of all 5 atoms:
Ba1 0.0000 0.0000 0.0000  4 Ga 3.30, 8 Si 3.36
Ga1 0.5000 0.5000 0.0000  2 F 2.42
Si1 0.0000 0.5000 0.5000  2 F 2.33
Si2 0.5000 0.0000 0.5000  2 F 2.33
F1 0.5000 0.5000 0.5000  4 Si 2.33, 2 Ga 2.42